VASP calculation (PBE) on a geometry-optimized ScHO2 structure.

Cell lengths 10.3780, 3.2392, 4.8103 Å; angles 90.00, 90.00, 90.00 degrees
Space group Pnma (No. 62)
Symmetry-distinct sites (fractional):
Sc 0.1449 0.2500 0.0732 x4
H 0.0923 0.7500 0.6159 x4
O 0.0599 0.7500 0.8112 x4
O 0.1942 0.7500 0.3183 x4

Mass density in g/cm3: 3.2
Density of states at the Fermi level in states/eV/f.u.: 0.000
Crystal system: orthorhombic
Uncorrected energy in hartree per atom: -0.2763

***

VASP calculation (PBE) on a geometry-optimized ScHO2 structure.

Cell lengths 3.2769, 13.0569, 4.0516 Å; angles 90.00, 90.00, 90.00 degrees
Space group Cmc2_1 (No. 36)
Symmetry-distinct sites (fractional):
Sc 0.0000 0.1760 0.0000 x4
H 0.0000 0.4833 0.6838 x4
O 0.0000 0.2157 0.5009 x4
O 0.0000 0.4303 0.5042 x4

Mass density in g/cm3: 3.0
Density of states at the Fermi level in states/eV/f.u.: 0.000
Crystal system: orthorhombic
Uncorrected energy in hartree per atom: -0.2764

***

VASP calculation (PBE) on a geometry-optimized Sc4HO structure.

Cell lengths 13.5459, 4.4090, 7.3089 Å; angles 90.00, 107.90, 90.00 degrees
Space group C2/m (No. 12)
Symmetry-distinct sites (fractional):
Sc 0.0563 0.0000 0.3467 x4
Sc 0.1135 0.5000 0.6797 x4
Sc 0.1627 0.0000 0.0129 x4
Sc 0.2246 0.5000 0.3498 x4
H 0.1127 0.0000 0.6709 x4
O 0.2155 0.0000 0.3241 x4

Mass density in g/cm3: 3.1
Density of states at the Fermi level in states/eV/f.u.: 6.216
Crystal system: monoclinic
Uncorrected energy in hartree per atom: -0.2403

***

VASP calculation (PBE) on a geometry-optimized ScH3O3 structure.

Cell lengths 11.2201, 11.2201, 6.7946 Å; angles 90.00, 90.00, 120.00 degrees
Space group R-3 (No. 148, hexagonal axes)
Symmetry-distinct sites (fractional):
Sc 0.0000 0.0000 0.0000 x3
Sc 0.0000 0.5000 0.0000 x9
H 0.0255 0.4251 0.6488 x18
H 0.0747 0.1912 0.7332 x18
O 0.0090 0.8481 0.1801 x18
O 0.0520 0.7772 0.6001 x18

Mass density in g/cm3: 2.6
Density of states at the Fermi level in states/eV/f.u.: 0.000
Crystal system: trigonal
Uncorrected energy in hartree per atom: -0.2356

***

VASP calculation (PBE) on a geometry-optimized ScHO structure.

Cell lengths 3.2671, 3.2671, 4.9749 Å; angles 90.00, 90.00, 120.00 degrees
Space group P3m1 (No. 156)
Symmetry-distinct sites (fractional):
Sc 0.0000 0.0000 0.0000 x1
H 0.6667 0.3333 0.2241 x1
O 0.3333 0.6667 0.8587 x1

Mass density in g/cm3: 2.2
Density of states at the Fermi level in states/eV/f.u.: 0.000
Crystal system: trigonal
Uncorrected energy in hartree per atom: -0.2523

***

VASP calculation (PBE) on a geometry-optimized ScHO2 structure.

Cell lengths 3.4215, 3.8489, 7.4346 Å; angles 81.27, 80.93, 80.84 degrees
Space group P1 (No. 1)
Symmetry-distinct sites (fractional):
Sc 0.0000 0.0000 0.0000 x1
Sc 0.1371 0.3198 0.3708 x1
H 0.5712 0.1793 0.6670 x1
H 0.5874 0.6316 0.1728 x1
O 0.2554 0.8552 0.2600 x1
O 0.5233 0.0584 0.8604 x1
O 0.6065 0.2708 0.5221 x1
O 0.8449 0.4669 0.1197 x1

Mass density in g/cm3: 2.7
Density of states at the Fermi level in states/eV/f.u.: 0.000
Crystal system: triclinic
Uncorrected energy in hartree per atom: -0.2690

***

VASP calculation (PBE) on a geometry-optimized Sc2HO structure.

Cell lengths 3.3710, 6.8930, 4.8546 Å; angles 90.00, 90.00, 90.00 degrees
Space group Pmn2_1 (No. 31)
Symmetry-distinct sites (fractional):
Sc 0.0000 0.0943 0.0000 x2
Sc 0.0000 0.6423 0.0881 x2
H 0.0000 0.8329 0.7543 x2
O 0.0000 0.4013 0.8312 x2

Mass density in g/cm3: 3.1
Density of states at the Fermi level in states/eV/f.u.: 2.897
Crystal system: orthorhombic
Uncorrected energy in hartree per atom: -0.2521

***

VASP calculation (PBE) on a geometry-optimized Sc2HO structure.

Cell lengths 3.1574, 3.1574, 16.2890 Å; angles 90.00, 90.00, 120.00 degrees
Space group R3m (No. 160, hexagonal axes)
Symmetry-distinct sites (fractional):
Sc 0.0000 0.0000 0.0000 x3
Sc 0.0000 0.0000 0.1753 x3
H 0.0000 0.0000 0.5948 x3
O 0.0000 0.0000 0.4214 x3

Mass density in g/cm3: 3.8
Density of states at the Fermi level in states/eV/f.u.: 2.887
Crystal system: trigonal
Uncorrected energy in hartree per atom: -0.2489